Record 1
The following is a DFT calculation (GGA-PBE) of Y2InCu2Rh5 after structural relaxation.

Structure (POSCAR):
```
Y2InCu2Rh5
1.0
3.8786 0.0000 0.0000
0.0000 9.3612 0.0000
0.0000 0.0000 9.3612
Cu In Rh Y
4 2 10 4
Direct
0.0000 0.1206 0.6206 Cu
0.0000 0.3794 0.1206 Cu
0.0000 0.6206 0.8794 Cu
0.0000 0.8794 0.3794 Cu
0.0000 0.5000 0.5000 In
0.0000 0.0000 0.0000 In
0.5000 0.2095 0.0703 Rh
0.5000 0.7095 0.4297 Rh
0.5000 0.0703 0.7905 Rh
0.5000 0.4297 0.2905 Rh
0.5000 0.7905 0.9297 Rh
0.5000 0.5703 0.7095 Rh
0.5000 0.5000 0.0000 Rh
0.5000 0.2905 0.5703 Rh
0.5000 0.9297 0.2095 Rh
0.5000 0.0000 0.5000 Rh
0.0000 0.3247 0.8247 Y
0.0000 0.6753 0.1753 Y
0.0000 0.1753 0.3247 Y
0.0000 0.8247 0.6753 Y
```

## Properties
- theoretical density (g/cm3) = 9.1
- calculated volume (Å³ per atom) = 16.99
- ΔH_f (0 K) (eV/atom) = -0.478
- Fermi-level density of states (states/eV per atom) = 1.014
- electronic total energy (eV/atom) = -6.539

***

Record 2
The following is a DFT calculation (GGA-PBE) of Zn2InCuRh after structural relaxation.

Structure (POSCAR):
```
Zn2InCuRh
1.0
-0.8844 -2.9619 -3.7601
4.1351 -2.2081 0.7667
-2.2260 -3.1305 2.9895
Cu In Zn Rh
1 1 2 1
Direct
0.0000 0.5000 0.0000 Cu
0.0000 0.0000 0.0000 In
0.5000 0.0000 0.0000 Zn
0.0000 0.0000 0.5000 Zn
0.5000 0.5000 0.5000 Rh
```

## Properties
- theoretical density (g/cm3) = 6.1
- calculated volume (Å³ per atom) = 22.51
- ΔH_f (0 K) (eV/atom) = 1.115
- Fermi-level density of states (states/eV per atom) = 0.628
- electronic total energy (eV/atom) = -2.232

***

Record 3
The following is a DFT calculation (GGA-PBE) of InCuRu2 after structural relaxation.

Structure (POSCAR):
```
InCuRu2
1.0
-0.8332 -1.3611 2.4002
-0.6734 -2.3311 -1.5557
6.8125 -2.5726 0.9060
Ru Cu In
2 1 1
Direct
0.5000 0.5000 0.2454 Ru
0.0000 0.0000 0.0249 Ru
0.0000 0.0000 0.4834 Cu
0.5000 0.5000 0.7463 In
```

## Properties
- theoretical density (g/cm3) = 10.4
- calculated volume (Å³ per atom) = 15.24
- ΔH_f (0 K) (eV/atom) = 0.145
- Fermi-level density of states (states/eV per atom) = 0.754
- electronic total energy (eV/atom) = -6.201

***

Record 4
The following is a DFT calculation (GGA-PBE) of InCuRu2 after structural relaxation.

Structure (POSCAR):
```
InCuRu2
1.0
4.6846 -0.0051 0.0024
3.8160 2.7173 0.0024
0.9296 0.2966 4.8083
In Cu Ru
1 1 2
Direct
0.2500 0.2500 0.2500 In
0.7500 0.7500 0.7500 Cu
0.0056 0.0056 0.9690 Ru
0.4944 0.4944 0.5310 Ru
```

## Properties
- theoretical density (g/cm3) = 10.3
- calculated volume (Å³ per atom) = 15.32
- ΔH_f (0 K) (eV/atom) = 0.266
- Fermi-level density of states (states/eV per atom) = 1.460
- electronic total energy (eV/atom) = -6.081